# 1
The following is a DFT calculation (PBE) of an optimized crystal structure of La2CuW.

Structure (POSCAR):
```
La2CuW
1.0
11.332 0.000 0.000
0.000 3.152 0.000
-1.527 0.000 5.273
La Cu W
4 2 2
Cartesian
0.000 0.000 0.000
1.162 0.000 3.326
5.666 1.576 0.000
6.828 1.576 3.326
4.131 0.000 2.393
9.797 1.576 2.393
2.722 1.576 0.863
8.388 0.000 0.863
```

Values from the calculation:
The crystal system is monoclinic. Its energy of formation from the pure elements is 0.395 eV/atom. For the polymorph energy (0 for the lowest one), the calculation gives 38 meV per atom.

# 2
The following is a DFT calculation (PBE) of an optimized crystal structure of Pr5ThBi6.

Structure (POSCAR):
```
Pr5ThBi6
1.0
4.014 -6.949 0.000
4.014 6.949 0.000
-2.674 0.000 7.567
Pr Th Bi
5 1 6
Cartesian
0.000 0.000 0.000
2.677 4.638 3.784
4.014 2.331 0.000
4.014 -2.331 0.000
2.677 -4.638 3.784
2.677 0.000 3.784
1.350 2.298 1.903
0.024 0.000 5.666
1.350 -2.298 1.903
4.004 2.298 5.664
5.329 0.000 1.901
4.004 -2.298 5.664
```

Values from the calculation:
The crystal system is monoclinic. Its energy of formation from the pure elements is -0.912 eV/atom.

# 3
The following is a DFT calculation (PBE) of an optimized crystal structure of Ta2Ti4Nb2W.

Structure (POSCAR):
```
Ta2Ti4Nb2W
1.0
5.405 0.000 0.000
-0.416 5.403 0.000
-0.440 -0.524 5.376
Ta Ti Nb W
2 4 2 1
Cartesian
0.261 2.156 1.475
4.288 2.723 3.902
0.792 4.792 0.435
1.701 3.868 3.235
2.848 1.011 2.141
3.757 0.087 4.942
1.279 1.335 4.472
3.270 3.544 0.904
-0.220 -0.262 2.688
```

Values from the calculation:
The crystal system is triclinic. Its energy of formation from the pure elements is 0.007 eV/atom.

# 4
The following is a DFT calculation (PBE) of an optimized crystal structure of LiPa4As5.

Structure (POSCAR):
```
LiPa4As5
1.0
-2.031 2.874 10.266
2.031 -2.874 10.266
2.031 2.874 -10.266
Li Pa As
1 4 5
Cartesian
0.000 0.000 0.000
0.000 0.000 4.117
0.000 0.000 8.232
0.000 0.000 12.301
0.000 0.000 16.415
2.031 0.000 2.046
2.031 0.000 6.188
0.000 2.874 0.000
0.000 2.874 4.079
0.000 2.874 8.220
```

Values from the calculation:
The crystal system is orthorhombic. Its energy of formation from the pure elements is -0.949 eV/atom.

# 5
The following is a DFT calculation (PBE) of an optimized crystal structure of LiY2GePd6.

Structure (POSCAR):
```
LiY2GePd6
1.0
5.504 0.000 0.000
2.713 5.743 0.000
2.711 0.693 5.778
Li Y Ge Pd
1 2 1 6
Cartesian
0.000 0.000 0.000
5.456 4.524 1.453
5.473 1.912 4.325
2.712 3.218 2.889
4.078 4.478 4.635
2.728 0.816 3.381
4.107 1.943 1.145
6.821 4.493 4.633
8.200 5.620 2.397
6.850 1.958 1.143
```

Values from the calculation:
The crystal system is triclinic. Its energy of formation from the pure elements is -0.620 eV/atom.

# 6
The following is a DFT calculation (PBE) of an optimized crystal structure of IrRuPt2.

Structure (POSCAR):
```
IrRuPt2
1.0
9.171 0.000 0.000
0.000 2.757 0.000
-0.816 0.000 4.718
Ir Ru Pt
2 2 4
Cartesian
0.000 0.000 0.000
4.585 1.378 0.000
2.022 1.378 1.074
6.608 0.000 1.074
1.668 0.000 3.489
4.117 0.000 2.293
6.253 1.378 3.489
8.702 1.378 2.293
```

Values from the calculation:
The crystal system is monoclinic. Its energy of formation from the pure elements is 0.015 eV/atom. For the polymorph energy (0 for the lowest one), the calculation gives 59 meV per atom.

Number 1: calculated volume 23.54 A^3/atom. Number 2: calculated volume 35.18 A^3/atom. Number 3: calculated volume 17.44 A^3/atom. Number 4: calculated volume 23.96 A^3/atom. Number 5: calculated volume 18.26 A^3/atom. Number 6: calculated volume 14.91 A^3/atom.